## BaBeSbTe2 (GGA-PBEsol)

Data for crystalline BaBeSbTe2 at its relaxed geometry.

Symmetry = P4/mmm, No. 123
Formation energy from raw total energies = 115.5 kJ per mole of atoms
Crystal system = tetragonal

a b c (Å): 6.269 6.269 6.254
angles (deg): 90.00 90.00 90.00
Sites, in units of the cell vectors:
Be (0.500, 0.500, 0.500)
Ba (0.000, 0.000, 0.000)
Te (0.500, 0.000, 0.000)
Te (0.000, 0.500, 0.000)
Sb (0.000, 0.000, 0.500)



## Ta2CoIr (GGA-PBEsol)

Data for crystalline Ta2CoIr at its relaxed geometry.

Symmetry = P4/mmm, No. 123
Formation energy from the elements = -0.358 eV/atom
Crystal system = tetragonal

a b c (Å): 3.723 3.977 3.977
angles (deg): 90.00 90.00 90.00
Sites, in units of the cell vectors:
Ta (0.000, 0.500, 0.000)
Ta (0.000, 0.000, 0.500)
Co (0.500, 0.500, 0.500)
Ir (0.500, 0.000, 0.000)



## CsYCd2Cl (GGA-PBEsol)

Data for crystalline CsYCd2Cl at its relaxed geometry.

Symmetry = P4/mmm, No. 123
Formation energy from raw total energies = 26.2 kJ per mole of atoms
Crystal system = tetragonal

a b c (Å): 5.650 5.650 5.819
angles (deg): 90.00 90.00 90.00
Sites, in units of the cell vectors:
Cd (0.500, 0.000, 0.000)
Cd (0.000, 0.500, 0.000)
Cs (0.000, 0.000, 0.500)
Y (0.500, 0.500, 0.500)
Cl (0.000, 0.000, 0.000)



## CaLaIn2 (GGA-PBEsol)

Data for crystalline CaLaIn2 at its relaxed geometry.

Symmetry = P4/mmm, No. 123
Formation energy from the elements = -0.510 eV/atom
Crystal system = tetragonal

a b c (Å): 3.975 5.368 5.368
angles (deg): 90.00 90.00 90.00
Sites, in units of the cell vectors:
In (0.000, 0.500, 0.000)
In (0.000, 0.000, 0.500)
La (0.500, 0.500, 0.500)
Ca (0.500, 0.000, 0.000)



## LiFeAu4 (GGA-PBEsol)

Data for crystalline LiFeAu4 at its relaxed geometry.

Symmetry = F-43m, No. 216
Formation energy from the elements = 0.193 eV/atom
Crystal system = cubic

a b c (Å): 5.355 5.355 5.355
angles (deg): 60.00 60.00 60.00
Sites, in units of the cell vectors:
Au (0.875, 0.375, 0.375)
Au (0.375, 0.375, 0.375)
Au (0.375, 0.375, 0.875)
Au (0.375, 0.875, 0.375)
Fe (0.750, 0.750, 0.750)
Li (0.000, 0.000, 0.000)



## InSbTe2Ru (GGA-PBEsol)

Data for crystalline InSbTe2Ru at its relaxed geometry.

Symmetry = P4/mmm, No. 123
Formation energy from raw total energies = 149.5 kJ per mole of atoms
Polymorph energy (0 for the lowest one) = 1.1933 eV per atom
Crystal system = tetragonal

a b c (Å): 5.392 5.492 5.492
angles (deg): 90.00 90.00 90.00
Sites, in units of the cell vectors:
In (0.000, 0.000, 0.000)
Ru (0.500, 0.500, 0.500)
Te (0.000, 0.500, 0.000)
Te (0.000, 0.000, 0.500)
Sb (0.500, 0.000, 0.000)



## LaSc2Ir (GGA-PBEsol)

Data for crystalline LaSc2Ir at its relaxed geometry.

Symmetry = Cmmm, No. 65
Polymorph energy (0 for the lowest one) = 0.3415 eV per atom
Formation energy from the elements = -0.054 eV/atom
Crystal system = orthorhombic

a b c (Å): 3.139 5.433 5.433
angles (deg): 116.58 90.00 90.00
Sites, in units of the cell vectors:
Sc (0.000, 0.500, 0.000)
Sc (0.000, 0.000, 0.500)
La (0.500, 0.500, 0.500)
Ir (0.500, 0.000, 0.000)



## Be2Nb3 (GGA-PBEsol)

Data for crystalline Be2Nb3 at its relaxed geometry.

Symmetry = P4/mbm, No. 127
Formation energy from the elements = -0.124 eV/atom
Crystal system = tetragonal

a b c (Å): 3.340 6.470 6.470
angles (deg): 90.00 90.00 90.00
Sites, in units of the cell vectors:
Nb (0.500, 0.179, 0.321)
Nb (0.500, 0.321, 0.821)
Nb (0.500, 0.679, 0.179)
Nb (0.000, 0.500, 0.500)
Nb (0.500, 0.821, 0.679)
Nb (0.000, 0.000, 0.000)
Be (0.000, 0.614, 0.886)
Be (0.000, 0.386, 0.114)
Be (0.000, 0.886, 0.386)
Be (0.000, 0.114, 0.614)



no.,spin magnetization (μB per cell)
1,0.1
2,0.0
3,1.1
4,0.0
5,3.3
6,2.5
7,0.0
8,0.0